[1]
KTePtN2 | SCAN | single point on PBEsol structure

Lattice parameters (Å, degrees): 4.442 4.442 6.595 90.00 90.00 90.00
Space group P4/mmm (No. 123)
Asymmetric unit:
K1 0.000 0.000 0.000 (multiplicity 1)
Te1 0.000 0.000 0.500 (multiplicity 1)
Pt1 0.500 0.500 0.500 (multiplicity 1)
N1 0.000 0.500 0.000 (multiplicity 2)

Properties
Total magnetization ... 1.195 μB/atom
Calculated density ... 4.97 Mg/m³
V ... 130.1 Å³ per cell
VASP energy ... -122.8 eV/cell
Energy relative to the elements, uncorrected ... 2305 meV/atom

[2]
KTePtN2 | SCAN | single point on PBEsol structure

Lattice parameters (Å, degrees): 4.182 4.182 5.568 90.00 90.00 90.00
Space group P4/mmm (No. 123)
Asymmetric unit:
K1 0.000 0.000 0.000 (multiplicity 1)
Te1 0.500 0.500 0.000 (multiplicity 1)
Pt1 0.500 0.500 0.500 (multiplicity 1)
N1 0.000 0.500 0.500 (multiplicity 2)

Properties
Total magnetization ... 0.746 μB/atom
Calculated density ... 6.65 Mg/m³
V ... 97.4 Å³ per cell
VASP energy ... -129.6 eV/cell
Energy relative to the elements, uncorrected ... 960 meV/atom

[3]
KRbS2N | SCAN | single point on PBEsol structure

Lattice parameters (Å, degrees): 5.747 5.747 5.212 90.00 90.00 90.00
Space group P4/mmm (No. 123)
Asymmetric unit:
K1 0.000 0.000 0.000 (multiplicity 1)
Rb1 0.500 0.500 0.500 (multiplicity 1)
S1 0.000 0.500 0.000 (multiplicity 2)
N1 0.000 0.000 0.500 (multiplicity 1)

Properties
Total magnetization ... 1.000 μB/atom
Calculated density ... 1.96 Mg/m³
V ... 172.2 Å³ per cell
VASP energy ... -54.4 eV/cell
Energy relative to the elements, uncorrected ... 642 meV/atom

[4]
KRbSeN2 | SCAN | single point on PBEsol structure

Lattice parameters (Å, degrees): 5.223 5.223 6.120 90.00 90.00 90.00
Space group P4/mmm (No. 123)
Asymmetric unit:
K1 0.000 0.000 0.000 (multiplicity 1)
Rb1 0.500 0.500 0.500 (multiplicity 1)
Se1 0.000 0.000 0.500 (multiplicity 1)
N1 0.000 0.500 0.000 (multiplicity 2)

Properties
Total magnetization ... 1.201 μB/atom
Calculated density ... 2.30 Mg/m³
V ... 167.0 Å³ per cell
VASP energy ... -62.0 eV/cell
Energy relative to the elements, uncorrected ... 1152 meV/atom

[5]
KRbSe2N | SCAN | single point on PBEsol structure

Lattice parameters (Å, degrees): 5.985 5.985 5.212 90.00 90.00 90.00
Space group P4/mmm (No. 123)
Asymmetric unit:
K1 0.000 0.000 0.000 (multiplicity 1)
Rb1 0.500 0.500 0.500 (multiplicity 1)
Se1 0.000 0.500 0.000 (multiplicity 2)
N1 0.000 0.000 0.500 (multiplicity 1)

Properties
Total magnetization ... 1.000 μB/atom
Calculated density ... 2.64 Mg/m³
V ... 186.7 Å³ per cell
VASP energy ... -75.8 eV/cell
Energy relative to the elements, uncorrected ... 536 meV/atom

[6]
KRuN | SCAN | single point on PBEsol structure

Lattice parameters (Å, degrees): 3.447 3.447 10.264 90.00 90.00 90.00
Space group P4_2mc (No. 105)
Asymmetric unit:
K1 0.000 0.000 0.000 (multiplicity 2)
Ru1 0.500 0.500 0.254 (multiplicity 2)
N1 0.000 0.500 0.209 (multiplicity 2)

Properties
Total magnetization ... 0.000 μB/atom
Calculated density ... 4.20 Mg/m³
V ... 122.0 Å³ per cell
VASP energy ... -102.9 eV/cell
Energy relative to the elements, uncorrected ... 339 meV/atom

[7]
KRu2N2 | SCAN | single point on PBEsol structure

Lattice parameters (Å, degrees): 3.959 3.959 11.931 90.00 90.00 90.00
Space group I4/mmm (No. 139)
Asymmetric unit:
K1 0.000 0.000 0.000 (multiplicity 2)
Ru1 0.000 0.000 0.256 (multiplicity 4)
N1 0.000 0.500 0.250 (multiplicity 4)

Properties
Total magnetization ... 0.000 μB/atom
Calculated density ... 4.78 Mg/m³
V ... 187.0 Å³ per cell
VASP energy ... -189.4 eV/cell
Energy relative to the elements, uncorrected ... 377 meV/atom

[8]
KTe2RuN | SCAN | single point on PBEsol structure

Lattice parameters (Å, degrees): 5.773 5.773 4.467 90.00 90.00 90.00
Space group P4/mmm (No. 123)
Asymmetric unit:
K1 0.000 0.000 0.000 (multiplicity 1)
Te1 0.000 0.500 0.000 (multiplicity 2)
Ru1 0.500 0.500 0.500 (multiplicity 1)
N1 0.000 0.000 0.500 (multiplicity 1)

Properties
Total magnetization ... 1.205 μB/atom
Calculated density ... 4.57 Mg/m³
V ... 148.9 Å³ per cell
VASP energy ... -116.5 eV/cell
Energy relative to the elements, uncorrected ... 2090 meV/atom